The following is a DFT calculation (PBE+U) of a relaxed structure of ErV2GaO8.

- E_tot: -7.306 eV/atom
- V: 12.380 Å³ per atom

Unit cell a=5.7867 b=5.7867 c=5.7867 alpha=107.41 beta=107.41 gamma=113.68
Atoms (fractional coordinates):
1 O 0.3760 0.0773 0.2988
2 Er 0.2500 0.7500 0.5000
3 O 0.7785 0.0773 0.7012
4 O 0.4892 0.6789 0.8104
5 V 0.7500 0.2500 0.5000
6 O 0.3211 0.5108 0.1896
7 Ga 0.0000 0.0000 0.0000
8 V 0.5000 0.5000 0.0000
9 O 0.8685 0.6789 0.1896
10 O 0.3211 0.1315 0.8104
11 O 0.9227 0.6240 0.7012
12 O 0.9227 0.2215 0.2988